1.
DFT (PBE-GGA) results for a relaxed structure of CaCuTe.

Geometry as POSCAR:
```
CaCuTe
1.0
-2.570 0.286 -3.575
3.517 -2.662 -0.019
-2.416 -3.203 1.480
Ca Cu Te
1 1 1
direct
0.000 0.000 0.017 Ca
0.667 0.333 0.456 Cu
0.333 0.667 0.527 Te
```

As for the offset from the most stable computed form: 0 meV per atom. For the total magnetic moment, the calculation gives 0.0 μB per formula unit. The calculation puts the uncorrected formation energy at -648.0 meV per atom.

=====

2.
DFT (PBE-GGA) results for a relaxed structure of Ca2CuTe.

Geometry as POSCAR:
```
Ca2CuTe
1.0
4.414 -0.068 0.051
2.262 3.791 0.051
2.144 1.196 7.100
Cu Ca Te
1 2 1
direct
0.750 0.750 0.750 Cu
0.495 0.495 0.517 Ca
0.005 0.005 0.983 Ca
0.250 0.250 0.250 Te
```

For the total magnetic moment, the calculation gives 0.0 μB per formula unit. The calculation puts the uncorrected formation energy at -689.1 meV per atom.

=====

3.
DFT (PBE-GGA) results for a relaxed structure of Ca2CuTe.

Geometry as POSCAR:
```
Ca2CuTe
1.0
-1.433 -2.922 2.040
-1.975 -1.192 -3.095
3.539 -5.250 -5.034
Ca Cu Te
2 1 1
direct
0.000 0.990 0.010 Ca
0.000 0.510 0.490 Ca
0.500 0.250 0.250 Cu
0.500 0.750 0.750 Te
```

For the total magnetic moment, the calculation gives 0.0 μB per formula unit. The calculation puts the uncorrected formation energy at -688.2 meV per atom.

=====

4.
DFT (PBE-GGA) results for a relaxed structure of CaCu2Te2.

Geometry as POSCAR:
```
CaCu2Te2
1.0
-2.851 3.453 -2.552
-1.408 -3.646 -3.360
-5.593 -1.088 -0.429
Cu Te Ca
2 2 1
direct
0.646 0.646 0.709 Cu
0.354 0.354 0.291 Cu
0.250 0.750 0.500 Te
0.750 0.250 0.500 Te
0.000 0.000 0.000 Ca
```

As for the offset from the most stable computed form: 209 meV per atom. For the total magnetic moment, the calculation gives 0.0 μB per formula unit. The calculation puts the uncorrected formation energy at -327.4 meV per atom.

=====

5.
DFT (PBE-GGA) results for a relaxed structure of Ca2CuTe.

Geometry as POSCAR:
```
Ca2CuTe
1.0
-2.890 0.777 5.418
-1.993 -3.408 4.767
3.828 0.514 1.967
Ca Te Cu
2 1 1
direct
0.724 0.724 0.624 Ca
0.012 0.012 0.125 Ca
0.296 0.296 0.124 Te
0.468 0.468 0.626 Cu
```

For the total magnetic moment, the calculation gives 0.0 μB per formula unit. The calculation puts the uncorrected formation energy at -707.5 meV per atom.

=====

6.
DFT (PBE-GGA) results for a relaxed structure of Ca2CuTe.

Geometry as POSCAR:
```
Ca2CuTe
1.0
5.332 0.000 0.000
2.666 4.618 0.000
2.666 1.539 4.354
Ca Te Cu
2 1 1
direct
0.000 0.000 0.000 Ca
0.250 0.250 0.250 Ca
0.750 0.750 0.750 Te
0.500 0.500 0.500 Cu
```

For the total magnetic moment, the calculation gives 0.0 μB per formula unit. The calculation puts the uncorrected formation energy at -142.4 meV per atom.

=====

total magnetic moment of number 1 (CaCuTe)? 0.0 μB per formula unit